Entry 1:
Below is a geometry-optimized Pm2ThOs structure, with properties calculated at the PBE level.

a = 6.4809 Å, b = 6.4809 Å, c = 9.6326 Å
α = 90.00°, β = 90.00°, γ = 144.40°
Atoms (fractional coordinates):
Pm1 0.1445 0.8555 0.5697
Pm2 0.1445 0.8555 0.9303
Pm3 0.8555 0.1445 0.0697
Pm4 0.8555 0.1445 0.4303
Th1 0.4166 0.5834 0.7500
Th2 0.5834 0.4166 0.2500
Os1 0.2358 0.7642 0.2500
Os2 0.7642 0.2358 0.7500

Results
* calculated total energy: -28.7 eV/f.u.
* calculated formation energy: -0.1445 eV/atom

Entry 2:
Below is a geometry-optimized Pm2ThOs structure, with properties calculated at the PBE level.

a = 5.1502 Å, b = 5.1502 Å, c = 5.1502 Å
α = 62.03°, β = 62.03°, γ = 62.03°
Atoms (fractional coordinates):
Pm1 0.2453 0.2453 0.2453
Pm2 0.7547 0.7547 0.7547
Th1 0.5000 0.5000 0.5000
Os1 0.0000 0.0000 0.0000

Results
* calculated total energy: -26.6 eV/f.u.
* calculated formation energy: 0.3784 eV/atom

Entry 3:
Below is a geometry-optimized PmThOs2 structure, with properties calculated at the PBE level.

a = 5.0003 Å, b = 5.0003 Å, c = 5.0003 Å
α = 60.00°, β = 60.00°, γ = 60.00°
Atoms (fractional coordinates):
Pm1 0.0000 0.0000 0.0000
Th1 0.5000 0.5000 0.5000
Os1 0.2500 0.2500 0.2500
Os2 0.7500 0.7500 0.7500

Results
* calculated total energy: -34.7 eV/f.u.
* calculated formation energy: -0.0256 eV/atom